Cs3Ac3ScO8 | the Alexandria database | PBE-GGA | relaxed; formation energy without anion corrections = -2.512 eV per atom; magnetic moment = 0.945 μB/cell; V = 22.74 A^3/atom
1.0
3.7426 2.1608 7.0310
-3.7426 2.1608 7.0310
0.0000 -4.3216 7.0310
Cs Ac Sc O
3 3 1 8
direct
0.0000 0.5000 0.5000 Cs
0.5000 0.0000 0.5000 Cs
0.5000 0.5000 0.0000 Cs
0.0000 0.0000 0.5000 Ac
0.0000 0.5000 0.0000 Ac
0.5000 0.0000 0.0000 Ac
0.5000 0.5000 0.5000 Sc
0.2252 0.2252 0.2252 O
0.2543 0.7017 0.7017 O
0.2983 0.2983 0.7457 O
0.2983 0.7457 0.2983 O
0.7017 0.2543 0.7017 O
0.7017 0.7017 0.2543 O
0.7457 0.2983 0.2983 O
0.7748 0.7748 0.7748 O